8
Lattice="-2.682 2.682 5.467 2.682 -2.682 5.467 2.682 2.682 -5.467" Properties=species:S:1:pos:R:3 comment="BeAs2P GGA-PBE optimized geometry" sg=I-42d volume_a3_per_cell=157.3 relative_energy_ev_per_fu=0.00 formation_energy_mev_per_atom=85 dos_ef_per_ev_atom=0.697 total_energy_ev_per_atom=-4.523 pbc="T T T"
Be 0.000 0.000 0.000
Be 0.000 2.682 2.734
As 4.023 1.150 -1.367
As 1.150 1.341 1.367
As -1.341 1.532 4.100
As 1.532 1.341 6.834
P 2.682 0.000 2.734
P 0.000 0.000 5.467

***

4
Lattice="1.822 -2.214 0.000 1.822 2.214 0.000 0.000 0.000 8.041" Properties=species:S:1:pos:R:3 comment="BeAs2P GGA-PBE optimized geometry" sg=Cmm2 volume_a3_per_cell=64.9 relative_energy_ev_per_fu=1.37 formation_energy_mev_per_atom=428 dos_ef_per_ev_atom=0.335 total_energy_ev_per_atom=-4.180 pbc="T T T"
Be 0.000 0.000 0.000
As 0.000 0.000 3.745
As 1.822 0.000 6.398
P 1.822 0.000 1.189

***

12
Lattice="7.039 0.000 0.000 0.000 4.290 0.000 -2.276 0.000 5.256" Properties=species:S:1:pos:R:3 comment="Be4AsP GGA-PBE optimized geometry" sg=P2_1/c volume_a3_per_cell=158.7 relative_energy_ev_per_fu=0.00 formation_energy_mev_per_atom=263 dos_ef_per_ev_atom=0.157 total_energy_ev_per_atom=-3.898 pbc="T T T"
Be 0.545 0.976 1.893
Be -0.593 1.169 4.521
Be 1.720 3.156 0.707
Be 0.582 3.279 3.335
Be 4.181 1.011 1.921
Be 3.043 1.134 4.549
Be 5.355 3.121 0.735
Be 4.217 3.314 3.363
As 3.519 0.000 0.000
As 2.381 2.145 2.628
P 0.000 0.000 0.000
P -1.138 2.145 2.628

***

20
Lattice="5.054 2.918 3.469 -5.054 2.918 3.469 0.000 -5.836 3.469" Properties=species:S:1:pos:R:3 comment="Be6As3P GGA-PBE optimized geometry" sg=R-3c volume_a3_per_cell=307.0 formation_energy_mev_per_atom=-10 dos_ef_per_ev_atom=0.012 total_energy_ev_per_atom=-4.182 pbc="T T T"
Be -3.499 1.487 2.774
Be 0.461 -3.774 2.774
Be -1.555 -1.430 4.508
Be -3.038 -2.286 7.635
Be -2.016 0.631 5.900
Be 0.461 -2.062 5.900
Be -0.461 2.062 4.508
Be 2.016 -0.631 4.508
Be 3.038 2.286 2.774
Be 1.555 1.430 5.900
Be -0.461 3.774 7.635
Be 3.499 -1.487 7.635
As -3.534 -0.285 4.337
As -1.520 -3.203 6.072
As 2.013 -2.918 4.337
As -2.013 2.918 6.072
As 1.520 3.203 4.337
As 3.534 0.285 6.072
P 0.000 0.000 0.000
P 0.000 0.000 5.204